BaLi4Si after structural relaxation. Source: the Alexandria database, functional PBE-GGA.

For the uncorrected energy, the calculation gives -2.52 eV per atom. Its crystal system is cubic. Its magnetization is 0.00 Bohr magnetons per cell.

Cell: 5.6581 5.6581 5.6581 Å, 60.00 60.00 60.00°
With the nearest neighbours (Å) after each atom.
Atoms (fractional coordinates):
Li 0.3769 0.3769 0.3769  6 Li 2.79-2.87
Li 0.8694 0.3769 0.3769  6 Li 2.79-2.87
Li 0.3769 0.8694 0.3769  6 Li 2.79-2.87
Li 0.3769 0.3769 0.8694  6 Li 2.79-2.87
Ba 0.0000 0.0000 0.0000  12 Li 3.32, 4 Si 3.46
Si 0.7500 0.7500 0.7500  12 Li 3.31, 4 Ba 3.46